Below is a geometry-optimized Ac6PdRh2 structure, with properties calculated at the PBE level.

The structure in CIF format:
```
data_Ac6PdRh2
_chemical_formula_sum 'Ac12 Pd2 Rh4'
_symmetry_space_group_name_H-M 'C 1 2/m 1'
_symmetry_Int_Tables_number 12
_symmetry_space_group_name_Hall '-C 2y'
_cell_length_a 13.967
_cell_length_b 5.770
_cell_length_c 9.601
_cell_angle_alpha 90.00
_cell_angle_beta 117.58
_cell_angle_gamma 90.00
loop_
_atom_site_label
_atom_site_type_symbol
_atom_site_fract_x
_atom_site_fract_y
_atom_site_fract_z
Ac1 Ac 0.018 0.000 0.215
Ac2 Ac 0.148 0.500 0.569
Ac3 Ac 0.197 0.500 0.098
Pd1 Pd 0.000 0.000 0.500
Rh1 Rh 0.181 0.000 0.098
```

Total moment: 0.000 μB/atom
Polymorph energy (0 for the lowest one): 91 meV/atom